Run w
First-principles (PBE-GGA) data for a relaxed structure of Ba2LaAu, as listed in Alexandria via LeMat-Bulk.

Geometry as CIF:
```
data_Ba2LaAu
_chemical_formula_sum 'Ba2 La1 Au1'
_cell_length_a 4.009
_cell_length_b 4.009
_cell_length_c 10.535
_cell_angle_alpha 90.00
_cell_angle_beta 90.00
_cell_angle_gamma 90.00
_symmetry_space_group_name_H-M 'P 4 m m'
_symmetry_Int_Tables_number 99
loop_
_symmetry_equiv_pos_as_xyz
'x,y,z'
'-y,x,z'
'-x,-y,z'
'y,-x,z'
'-x,y,z'
'y,x,z'
'x,-y,z'
'-y,-x,z'
loop_
_atom_site_label
_atom_site_type_symbol
_atom_site_fract_x
_atom_site_fract_y
_atom_site_fract_z
_atom_site_occupancy
Ba1 Ba 0.000 0.000 0.000 1
Ba2 Ba 0.500 0.500 0.352 1
La1 La 0.000 0.000 0.657 1
Au1 Au 0.500 0.500 0.790 1
```

Summary:
* DOS(E_F): 6.10 states/eV per cell



Run x
First-principles (PBE-GGA) data for a relaxed structure of Ba2LaAu, as listed in Alexandria via LeMat-Bulk.

Geometry as CIF:
```
data_Ba2LaAu
_chemical_formula_sum 'Ba6 La3 Au3'
_cell_length_a 4.5213
_cell_length_b 4.5213
_cell_length_c 32.3545
_cell_angle_alpha 90.00
_cell_angle_beta 90.00
_cell_angle_gamma 120.00
_symmetry_space_group_name_H-M 'R 3 m'
_symmetry_Int_Tables_number 160
_symmetry_space_group_name_Hall 'R 3 -2"'
loop_
_atom_site_label
_atom_site_type_symbol
_atom_site_fract_x
_atom_site_fract_y
_atom_site_fract_z
_atom_site_occupancy
Ba1 Ba 0.0000 0.0000 0.0000 1
Ba2 Ba 0.0000 0.0000 0.2125 1
La1 La 0.0000 0.0000 0.7696 1
Au1 Au 0.0000 0.0000 0.4830 1
```

Summary:
* DOS(E_F): 15.07 states/eV per cell



Energetically preferred structure: run w | next structure: +3.8 kJ/mol of atoms